Crystalline CrCd2GeO6 at its relaxed geometry, computed with PBE+U.

a = 4.798 Å, b = 5.138 Å, c = 5.138 Å
α = 90.00°, β = 90.00°, γ = 90.00°
Fractional coordinates of all 10 atoms:
Cd 0.018 0.500 0.000
Cd 0.018 0.000 0.500
O 0.705 0.247 0.753
O 0.705 0.247 0.247
O 0.705 0.753 0.247
O 0.211 0.000 0.000
O 0.216 0.500 0.500
O 0.705 0.753 0.753
Cr 0.584 0.500 0.500
Ge 0.581 0.000 0.000

## Properties
- space-group type = No. 99
- D(E_F) (states/eV/f.u.) = 3.5
- uncorrected energy (eV/cell) = -55.6